No. 1
Sc3Zn3In2 (PBE, relaxed); space group = No. 63; formation energy from the elements = -2.446 eV/f.u.
1.0
2.1590 -5.4284 0.0000
2.1590 5.4284 0.0000
0.0000 0.0000 13.9403
Sc Zn In
6 6 4
Direct
0.0658 0.9342 0.6172
0.0658 0.9342 0.8828
0.3441 0.6559 0.7500
0.6559 0.3441 0.2500
0.9342 0.0658 0.1172
0.9342 0.0658 0.3828
0.3842 0.6158 0.2500
0.4060 0.5940 0.5468
0.4060 0.5940 0.9532
0.5940 0.4060 0.0468
0.5940 0.4060 0.4532
0.6158 0.3842 0.7500
0.2212 0.7788 0.0974
0.2212 0.7788 0.4026
0.7788 0.2212 0.5974
0.7788 0.2212 0.9026


No. 2
Y2MoAsPb (PBE, relaxed); space group = No. 123; formation energy from the elements = 4.726 eV/f.u.
1.0
5.6959 0.0000 0.0000
0.0000 5.6959 0.0000
0.0000 0.0000 5.2024
Y Mo As Pb
2 1 1 1
Direct
0.0000 0.5000 0.0000
0.5000 0.0000 0.0000
0.0000 0.0000 0.5000
0.5000 0.5000 0.5000
0.0000 0.0000 0.0000


No. 3
TiCoWS2 (PBE, relaxed); space group = No. 123; raw formation energy = 0.80 eV/atom
1.0
4.3205 0.0000 0.0000
0.0000 4.3205 0.0000
0.0000 0.0000 4.2838
Ti Co W S
1 1 1 2
Direct
0.0000 0.0000 0.0000
0.0000 0.0000 0.5000
0.5000 0.5000 0.0000
0.0000 0.5000 0.5000
0.5000 0.0000 0.5000


no.,size of the total moment (μB per cell),final energy (eV/f.u.)
1,0.00,-30.7
2,3.95,-27.4
3,1.25,-32.2